Computed, not measured: a PBEsol-optimized structure of Ba2Cd2Br at the meta-GGA SCAN level of DFT.

a b c (Å): 6.561 6.561 6.561
angles (deg): 120.55 120.55 89.05
Element x y z (fractional)
Ba  0.250  0.750  0.500
Ba  0.750  0.250  0.500
Cd  0.142  0.142  0.000
Cd  0.858  0.858  0.000
Br  0.500  0.500  0.000

Properties
Symmetry: I4/mmm, No. 139
ΔE_f (raw), eV/atom: -0.53
Uncorrected energy, eV/cell: -162.0